{
  "formula": "SrLiMn2F8",
  "functional": "GGA+U",
  "state": "optimized geometry",
  "energy_ev_per_cell": -67.76,
  "sg": "No. 82",
  "dos_ef_per_ev_cell": 0.31,
  "lattice": [[-1.677, -0.706, -5.161], [1.633, -5.219, 0.183], [-4.866, 1.496, 4.278]],
  "species": ["Sr", "Li", "Mn", "Mn", "F", "F", "F", "F", "F", "F", "F", "F"],
  "fractional_positions": [[0.750, 0.250, 0.500], [0.000, 0.000, 0.000], [0.500, 0.500, 0.000], [0.250, 0.750, 0.500], [0.457, 0.535, 0.634], [0.177, 0.099, 0.634], [0.799, 0.864, 0.142], [0.343, 0.278, 0.142], [0.722, 0.201, 0.858], [0.136, 0.657, 0.858], [0.465, 0.823, 0.366], [0.901, 0.543, 0.366]]
}